An optimized crystal structure of Ba8IrRh2, computed with PBE.

abc: 7.672 9.362 9.362
angles: 54.33 108.00 108.00
Positions (direct):
Ba  0.069  0.117  0.634
Ba  0.069  0.634  0.117
Ba  0.931  0.883  0.366
Ba  0.425  0.637  0.637
Ba  0.931  0.366  0.883
Ba  0.414  0.108  0.108
Ba  0.586  0.892  0.892
Ba  0.575  0.363  0.363
Ir  0.000  0.000  0.000
Rh  0.787  0.254  0.254
Rh  0.213  0.746  0.746

Output
Fermi-level density of states in states/eV/cell: 9.76
Formation enthalpy at 0 K in eV/atom: -0.048
Energy above the lowest structure with this stoichiometry in meV/atom: 77
E_tot in hartree per atom: -0.1319
Symmetry: No. 12